# BaNaBe2

A relaxed BaNaBe2 crystal (PBE, Alexandria via LeMat-Bulk).

Cell and atoms, written as POSCAR:
```
BaNaBe2
1.0
0.000 3.717 3.717
3.717 0.000 3.717
3.717 3.717 0.000
Na Ba Be
1 1 2
Direct
0.000 0.000 0.000 Na
0.500 0.500 0.500 Ba
0.250 0.250 0.250 Be
0.750 0.750 0.750 Be
```

Results
Its energy relative to the elements is 0.789 eV/atom. For the energy relative to the lowest polymorph listed for this composition, the calculation gives 0.099 eV/atom.

# SrTlC2O6

A relaxed SrTlC2O6 crystal (PBE, Alexandria via LeMat-Bulk).

Cell and atoms, written as POSCAR:
```
SrTlC2O6
1.0
-1.261 -4.331 -5.158
-0.708 -4.097 5.447
-5.929 3.614 0.229
Sr Tl C O
2 2 4 12
Direct
0.603 0.397 0.250 Sr
0.397 0.603 0.750 Sr
0.112 0.888 0.250 Tl
0.888 0.112 0.750 Tl
0.389 0.106 0.747 C
0.894 0.611 0.753 C
0.611 0.894 0.253 C
0.106 0.389 0.247 C
0.973 0.499 0.238 O
0.501 0.027 0.262 O
0.027 0.501 0.762 O
0.499 0.973 0.738 O
0.056 0.203 0.127 O
0.797 0.944 0.373 O
0.944 0.797 0.873 O
0.203 0.056 0.627 O
0.285 0.456 0.372 O
0.544 0.715 0.128 O
0.715 0.544 0.628 O
0.456 0.285 0.872 O
```

# PuCdS2

A relaxed PuCdS2 crystal (PBE, Alexandria via LeMat-Bulk).

Cell and atoms, written as POSCAR:
```
PuCdS2
1.0
3.976 0.000 0.000
1.988 3.444 0.000
1.988 1.148 8.321
S Cd Pu
2 1 1
Direct
0.108 0.108 0.677 S
0.892 0.892 0.323 S
0.000 0.000 0.000 Cd
0.500 0.500 0.500 Pu
```

# ScAuSe2

A relaxed ScAuSe2 crystal (PBE, Alexandria via LeMat-Bulk).

Cell and atoms, written as POSCAR:
```
ScAuSe2
1.0
2.320 0.000 6.336
-1.160 2.009 6.336
-1.160 -2.009 6.336
Sc Au Se
1 1 2
Direct
0.938 0.938 0.938 Sc
0.438 0.438 0.438 Au
0.192 0.192 0.192 Se
0.683 0.683 0.683 Se
```

Calculated calculated total energy in order - -1.88 -6.88 -6.85 -4.97 eV/atom